The following is a DFT calculation (PBE-GGA) of a geometry-optimized Pr2Zn2Ru structure.

Values from the calculation:
polymorph energy (0 for the lowest one)	0.3	kJ per mole of atoms
E_tot	-4.56	eV/atom
space group	C2/m
ΔH_f (0 K)	-0.28	eV per atom

Cell lengths 6.013, 6.013, 11.867 Å; angles 115.65, 115.65, 38.95 degrees
Fractional coordinates of all 10 atoms:
Pr1 0.075 0.075 0.362
Pr2 0.210 0.210 0.120
Pr3 0.790 0.790 0.880
Pr4 0.925 0.925 0.638
Zn1 0.379 0.379 0.412
Zn2 0.492 0.492 0.116
Zn3 0.508 0.508 0.884
Zn4 0.621 0.621 0.588
Ru1 0.272 0.272 0.696
Ru2 0.728 0.728 0.304

***

The following is a DFT calculation (PBE-GGA) of a geometry-optimized KHg10Pb2 structure.

Values from the calculation:
E_tot	-0.91	eV/atom
space group	Fmmm
ΔH_f (0 K)	-0.02	eV per atom

Cell lengths 10.516, 8.365, 8.031 Å; angles 79.76, 51.51, 48.73 degrees
Fractional coordinates of all 13 atoms:
K1 0.000 0.000 0.000
Hg1 0.000 0.000 0.500
Hg2 0.005 0.647 0.353
Hg3 0.288 0.506 0.494
Hg4 0.353 0.995 0.005
Hg5 0.494 0.712 0.288
Hg6 0.500 0.500 0.000
Hg7 0.506 0.288 0.712
Hg8 0.647 0.005 0.995
Hg9 0.712 0.494 0.506
Hg10 0.995 0.353 0.647
Pb1 0.000 0.500 0.000
Pb2 0.500 0.000 0.500